The following is a GGA-PBE calculation of LiCeCd2 after structural relaxation, from Alexandria via LeMat-Bulk.

a = 3.085 Å, b = 3.085 Å, c = 10.853 Å
α = 81.83°, β = 81.83°, γ = 60.00°
Element x y z (fractional)
Li 0.000 0.000 0.000
Ce 0.500 0.500 0.500
Cd 0.742 0.742 0.774
Cd 0.258 0.258 0.226

symmetry: R-3m, No. 166
ΔE_f: -0.115 eV per atom
DOS(E_F): 4.85 states/eV/cell

---

The following is a GGA-PBE calculation of LiCeCd4 after structural relaxation, from Alexandria via LeMat-Bulk.

a = 4.452 Å, b = 7.361 Å, c = 8.726 Å
α = 90.00°, β = 104.78°, γ = 90.00°
Element x y z (fractional)
Li 0.231 0.750 0.461
Li 0.769 0.250 0.539
Ce 0.122 0.250 0.244
Ce 0.878 0.750 0.756
Cd 0.500 0.500 0.000
Cd 0.500 0.000 0.000
Cd 0.681 0.949 0.363
Cd 0.319 0.051 0.637
Cd 0.319 0.449 0.637
Cd 0.681 0.551 0.363
Cd 0.072 0.750 0.144
Cd 0.928 0.250 0.856

symmetry: Cmcm, No. 63
ΔE_f: -0.147 eV per atom
DOS(E_F): 21.71 states/eV/cell